## AcPr2Zn2Ge2 (GGA-PBE)

Data for an optimized crystal structure of AcPr2Zn2Ge2.

Cell: 4.2650 4.2650 36.0377 Å, 90.00 90.00 120.00°
Space group R-3m (No. 166, hexagonal axes)
Unique sites:
Ac 0.0000 0.0000 0.0000 x3
Pr 0.0000 0.0000 0.1238 x6
Zn 0.0000 0.0000 0.4003 x6
Ge 0.0000 0.0000 0.2687 x6

Calculated values
The formation energy from the elements is -3.3 eV/f.u. Its theoretical density is 6.9 Mg/m³.



## ZnBiH (GGA-PBE)

Data for an optimized crystal structure of ZnBiH.

Cell: 4.812 4.913 6.410 Å, 69.30 72.06 82.10°
Space group P-1 (No. 2)
Unique sites:
Zn 0.241 0.491 0.021 x2
Bi 0.191 0.700 0.531 x2
H 0.468 0.766 0.978 x2

Calculated values
For the excess energy over the best structure of this formula in the dataset, the calculation gives 0.1199 eV per atom. Its theoretical density is 6.8 Mg/m³.



Question: Among the records above, which one has the lowest theoretical density?
Answer: ZnBiH